1.
This record from Alexandria describes a relaxed Li2ReAu crystal. The functional is PBE.

crystal system = orthorhombic
polymorph energy (0 for the lowest one) = 150 meV per atom
ΔH_f (0 K) = 0.159 eV/atom

Cell: 3.7148 3.8407 8.9637 Å, 90.00 90.00 90.00°
Last column: nearest neighbours and their distance in Å.
Space group Cmm2 (No. 35)
Symmetry-distinct sites (fractional):
Li  0.0000  0.0000  0.0000  4 Li 2.67, 4 Au 2.71-2.75
Li  0.0000  0.5000  0.2944  4 Li 2.67, 4 Re 2.78-2.82
Re  0.0000  0.0000  0.5249  4 Re 2.67, 4 Li 2.78-2.82, 4 Au 2.95-2.99
Au  0.0000  0.5000  0.7800  4 Au 2.67, 4 Li 2.71-2.75, 4 Re 2.95-2.99

=====

2.
This record from Alexandria describes a relaxed YMgCr crystal. The functional is PBE.

crystal system = hexagonal
ΔH_f (0 K) = 0.323 eV/atom

Cell: 4.9762 4.9762 3.3156 Å, 90.00 90.00 120.00°
Last column: nearest neighbours and their distance in Å.
Space group P-6m2 (No. 187)
Symmetry-distinct sites (fractional):
Y  0.0000  0.0000  0.0000  2 Y 3.32, 6 Cr 3.32, 6 Mg 3.32
Mg  0.3333  0.6667  0.5000  3 Cr 2.87
Cr  0.6667  0.3333  0.5000  3 Mg 2.87

=====

3.
This record from Alexandria describes a relaxed Ce3Si4Ru2 crystal. The functional is PBE.

crystal system = monoclinic
polymorph energy (0 for the lowest one) = 0 meV per atom
energy relative to the elements, uncorrected = -662 kJ/mol of formula units

Cell: 11.0995 4.1259 8.1999 Å, 90.00 109.72 90.00°
Last column: nearest neighbours and their distance in Å.
Space group C2/m (No. 12)
Symmetry-distinct sites (fractional):
Ce  0.0000  0.0000  0.0000  8 Si 3.05-3.35
Ce  0.1124  0.5000  0.6847  7 Si 2.99-3.13, 4 Ru 3.05-3.34, 1 Ce 3.21
Si  0.1055  0.0000  0.3944  3 Ru 2.37-2.45
Si  0.2204  0.5000  0.0710  1 Ru 2.42, 2 Si 2.56
Ru  0.1969  0.5000  0.3542  4 Si 2.37-2.45

=====

4.
This record from Alexandria describes a relaxed RbScZnI6 crystal. The functional is PBE.

crystal system = trigonal
energy relative to the elements, uncorrected = -887 kJ/mol of formula units

Cell: 7.4842 7.4842 8.3316 Å, 90.00 90.00 120.00°
Last column: nearest neighbours and their distance in Å.
Space group P312 (No. 149)
Symmetry-distinct sites (fractional):
Rb  0.0000  0.0000  0.0000  6 I 3.74
Sc  0.3333  0.6667  0.5000  6 I 2.90
Zn  0.6667  0.3333  0.5000  6 I 2.88
I  0.3714  0.0023  0.6993  1 Zn 2.88, 1 Sc 2.90

=====

5.
This record from Alexandria describes a relaxed TbSbCl crystal. The functional is PBE.

crystal system = hexagonal
energy relative to the elements, uncorrected = -314 kJ/mol of formula units

Cell: 4.9065 4.9065 3.6495 Å, 90.00 90.00 120.00°
Last column: nearest neighbours and their distance in Å.
Space group P-6m2 (No. 187)
Symmetry-distinct sites (fractional):
Tb  0.0000  0.0000  0.0000  3 Cl 2.83
Sb  0.6667  0.3333  0.5000  6 Tb 3.37, 6 Cl 3.37, 2 Sb 3.65
Cl  0.3333  0.6667  0.0000  3 Tb 2.83

=====

6.
This record from Alexandria describes a relaxed CaMgZr2H crystal. The functional is PBE.

crystal system = tetragonal
total DFT energy (no corrections) = -23.81 eV/cell

Cell: 4.5195 4.5195 4.9729 Å, 90.00 90.00 90.00°
Last column: nearest neighbours and their distance in Å.
Space group P4/mmm (No. 123)
Symmetry-distinct sites (fractional):
Ca  0.0000  0.0000  0.0000  2 H 2.49
Mg  0.5000  0.5000  0.0000  4 Ca 3.20, 8 Zr 3.36
Zr  0.0000  0.5000  0.5000  2 H 2.26
H  0.0000  0.0000  0.5000  4 Zr 2.26, 2 Ca 2.49